Compound: CrBr2
Source: the Alexandria database
Functional: PBE
Structure: relaxed

Structure (POSCAR):
```
CrBr2
1.0
-1.692 1.692 15.551
1.692 -1.692 15.551
1.692 1.692 -15.551
Cr Br
2 4
Direct
0.375 0.625 0.750
0.625 0.375 0.250
0.073 0.823 0.250
0.177 0.927 0.250
0.823 0.073 0.750
0.927 0.177 0.750
```

Properties
V	29.7	A^3/atom
spin magnetization	8.00	μB per cell
raw formation energy	-0.1960	eV per atom



Compound: CrBr2
Source: the Alexandria database
Functional: PBE
Structure: relaxed

Structure (POSCAR):
```
CrBr2
1.0
6.889 0.000 0.000
0.000 6.889 0.000
0.000 0.000 3.700
Cr Br
2 4
Direct
0.000 0.000 0.000
0.500 0.500 0.500
0.178 0.178 0.500
0.322 0.678 0.000
0.678 0.322 0.000
0.822 0.822 0.500
```

Properties
V	29.3	A^3/atom
spin magnetization	8.00	μB per cell
raw formation energy	-0.6186	eV per atom